No. 1
A relaxed SnGePt2 crystal, computed with PBE.

Computed properties:
D(E_F): 2.0 states/eV/cell
M_tot: 0.000 μB per atom
SG: C2/m, No. 12
formation energy from the elements: -1.0 eV/f.u.
total energy: -5.4287 eV per atom

Cell: 4.8760 4.8759 7.0621 Å, 49.14 49.15 47.24°
Atoms (fractional coordinates):
Sn 0.5000 0.5000 0.5000
Ge 0.0000 0.0000 0.0000
Pt 0.3341 0.3341 0.2984
Pt 0.6659 0.6659 0.7016

---

No. 2
A relaxed Sn2GePt crystal, computed with PBE.

Computed properties:
D(E_F): 4.7 states/eV/cell
M_tot: 0.000 μB per atom
SG: I-42d, No. 122
distance to the lowest polymorph of the same formula: 0 meV/atom
formation energy from the elements: 0.1 eV/f.u.
total energy: -4.6534 eV per atom

Cell: 6.1259 6.1259 7.5576 Å, 66.09 66.09 90.00°
Atoms (fractional coordinates):
Ge 0.5000 0.5000 0.0000
Ge 0.2500 0.7500 0.5000
Sn 0.6408 0.1250 0.2500
Sn 0.1092 0.6250 0.2500
Sn 0.3750 0.3592 0.7500
Sn 0.8750 0.8908 0.7500
Pt 0.0000 0.0000 0.0000
Pt 0.7500 0.2500 0.5000

---

No. 3
A relaxed SnGePt4 crystal, computed with PBE.

Computed properties:
D(E_F): 2.1 states/eV/cell
M_tot: 0.000 μB per atom
SG: P-1, No. 2
formation energy from the elements: -2.1 eV/f.u.
total energy: -5.8147 eV per atom

Cell: 4.2950 7.0473 7.5475 Å, 99.39 106.78 89.70°
Atoms (fractional coordinates):
Sn 0.8188 0.7496 0.0008
Sn 0.1812 0.2504 0.9992
Ge 0.5000 0.0000 0.5000
Ge 0.0000 0.5000 0.5000
Pt 0.6088 0.0636 0.8455
Pt 0.7624 0.4361 0.1546
Pt 0.3912 0.9364 0.1545
Pt 0.2376 0.5639 0.8454
Pt 0.0403 0.8570 0.6194
Pt 0.4185 0.6431 0.3802
Pt 0.9597 0.1430 0.3806
Pt 0.5815 0.3569 0.6198

---

No. 4
A relaxed Sr2SnGe3Pt4 crystal, computed with PBE.

Computed properties:
D(E_F): 3.8 states/eV/cell
M_tot: 0.000 μB per atom
SG: P-4m2, No. 115
formation energy from the elements: -8.0 eV/f.u.
total energy: -5.3343 eV per atom

Cell: 4.4915 4.4915 10.4287 Å, 90.00 90.00 90.00°
Atoms (fractional coordinates):
Sr 0.5000 0.0000 0.2439
Sr 0.0000 0.5000 0.7561
Sn 0.5000 0.5000 0.5000
Ge 0.0000 0.0000 0.5000
Ge 0.5000 0.0000 0.8805
Ge 0.0000 0.5000 0.1195
Pt 0.5000 0.5000 0.0000
Pt 0.0000 0.0000 0.0000
Pt 0.5000 0.0000 0.6387
Pt 0.0000 0.5000 0.3613

---

No. 5
A relaxed Sr2Sn3GePt4 crystal, computed with PBE.

Computed properties:
D(E_F): 4.2 states/eV/cell
M_tot: 0.000 μB per atom
SG: P-4m2, No. 115
formation energy from the elements: -7.7 eV/f.u.
total energy: -5.1892 eV per atom

Cell: 4.6362 4.6362 10.7027 Å, 90.00 90.00 90.00°
Atoms (fractional coordinates):
Sr 0.5000 0.0000 0.2526
Sr 0.0000 0.5000 0.7474
Sn 0.0000 0.0000 0.5000
Sn 0.5000 0.0000 0.8723
Sn 0.0000 0.5000 0.1277
Ge 0.5000 0.5000 0.5000
Pt 0.5000 0.5000 0.0000
Pt 0.0000 0.0000 0.0000
Pt 0.5000 0.0000 0.6217
Pt 0.0000 0.5000 0.3783

---

No. 6
A relaxed SrSn2GePt5 crystal, computed with PBE.

Computed properties:
D(E_F): 4.5 states/eV/cell
M_tot: 0.000 μB per atom
SG: Immm, No. 71
formation energy from the elements: -4.1 eV/f.u.
total energy: -5.3995 eV per atom

Cell: 4.7604 5.6916 8.0699 Å, 110.65 107.15 90.00°
Atoms (fractional coordinates):
Sr 0.0000 0.5000 0.0000
Sn 0.1939 0.1939 0.3878
Sn 0.8061 0.8061 0.6122
Ge 0.5000 0.0000 0.0000
Pt 0.6463 0.8928 0.2926
Pt 0.3537 0.1072 0.7074
Pt 0.3537 0.6002 0.7074
Pt 0.6463 0.3998 0.2926
Pt 0.0000 0.0000 0.0000

---

Q: Look up the M_tot of the second one.
A: 0.000 μB per atom

---

Q: Number 1 is which compound?
A: SnGePt2

---

Q: D(E_F) of number 1 (SnGePt2)?
A: 2.0 states/eV/cell

---

Q: Among the records above, which one has the lowest D(E_F)?
A: SnGePt2